Ba2NaGaCl: relaxed, GGA-PBEsol.

Summary:
Total moment ... 0.00 μB/f.u.
Uncorrected formation energy ... -0.47 eV/atom

Lattice parameters (Å, degrees): 6.3217 6.3217 5.4072 90.00 90.00 90.00
Last column: nearest neighbours and their distance in Å.
Space group P4/mmm (No. 123)
One atom of each set of equivalent atoms:
Ba  0.0000  0.5000  0.0000 x2  2 Ga 3.16
Na  0.0000  0.0000  0.5000 x1  2 Ga 2.70
Ga  0.0000  0.0000  0.0000 x1  2 Na 2.70
Cl  0.5000  0.5000  0.5000 x1  8 Ba 4.16, 4 Na 4.47



BaNbGaCl2: relaxed, GGA-PBEsol.

Summary:
Total moment ... 0.00 μB/f.u.
Uncorrected formation energy ... -0.71 eV/atom

Lattice parameters (Å, degrees): 4.9109 4.9109 5.1499 90.00 90.00 90.00
Last column: nearest neighbours and their distance in Å.
Space group P4/mmm (No. 123)
One atom of each set of equivalent atoms:
Ba  0.0000  0.0000  0.0000 x1  4 Ga 3.47, 8 Cl 3.56
Nb  0.5000  0.5000  0.5000 x1  4 Cl 2.46, 2 Ga 2.57
Ga  0.5000  0.5000  0.0000 x1  2 Nb 2.57
Cl  0.0000  0.5000  0.5000 x2  2 Nb 2.46



BaGaPCl2: relaxed, GGA-PBEsol.

Summary:
Total moment ... 0.00 μB/f.u.
Uncorrected formation energy ... -1.04 eV/atom

Lattice parameters (Å, degrees): 5.0486 5.0486 4.7398 90.00 90.00 90.00
Last column: nearest neighbours and their distance in Å.
Space group P4/mmm (No. 123)
One atom of each set of equivalent atoms:
Ba  0.0000  0.0000  0.0000 x1  8 Cl 3.46, 4 P 3.57
Ga  0.5000  0.5000  0.5000 x1  2 P 2.37, 4 Cl 2.52
P  0.5000  0.5000  0.0000 x1  2 Ga 2.37
Cl  0.0000  0.5000  0.5000 x2  2 Ga 2.52



RbBa3Ga5Se10Cl2: relaxed, GGA-PBEsol.

Summary:
Total moment ... 0.00 μB/f.u.
Uncorrected formation energy ... -1.25 eV/atom

Lattice parameters (Å, degrees): 8.6044 8.6691 9.8089 63.96 64.92 89.99
Last column: nearest neighbours and their distance in Å.
Space group P1 (No. 1)
One atom of each set of equivalent atoms:
Rb  0.0000  0.0000  0.0000 x1  2 Cl 3.21-3.28, 3 Se 3.43-3.59
Ba  0.3718  0.8445  0.5424 x1  2 Cl 3.06-3.10, 2 Se 3.33-3.42
Ba  0.7397  0.4790  0.9996 x1  2 Cl 3.06-3.16, 2 Se 3.32-3.42
Ba  0.8533  0.1182  0.5393 x1  2 Cl 3.06-3.13, 2 Se 3.31-3.40
Ga  0.2353  0.5006  0.0884 x1  4 Se 2.39-2.42
Ga  0.3432  0.4158  0.4407 x1  4 Se 2.39-2.42
Ga  0.4192  0.8765  0.1074 x1  4 Se 2.40-2.42
Ga  0.4833  0.3505  0.7694 x1  4 Se 2.40-2.43
Ga  0.9638  0.6154  0.4340 x1  4 Se 2.39-2.42
Se  0.0450  0.3949  0.6293 x1  2 Ga 2.39
Se  0.1448  0.9023  0.2992 x1  2 Ga 2.39-2.40
Se  0.2030  0.4187  0.8972 x1  2 Ga 2.39-2.41
Se  0.3213  0.2759  0.2815 x1  2 Ga 2.42
Se  0.4484  0.2068  0.6202 x1  2 Ga 2.40
Se  0.4510  0.7749  0.9076 x1  2 Ga 2.40
Se  0.5575  0.6910  0.2676 x1  2 Ga 2.40-2.42
Se  0.6232  0.1594  0.9234 x1  2 Ga 2.40-2.41
Se  0.6835  0.6346  0.6234 x1  2 Ga 2.40-2.43
Se  0.9431  0.5316  0.2362 x1  2 Ga 2.40-2.42
Cl  0.7340  0.1103  0.2819 x1  3 Ba 3.10-3.16, 1 Rb 3.28
Cl  0.9906  0.8444  0.7606 x1  3 Ba 3.06, 1 Rb 3.21



Ba3GaS4Cl: relaxed, GGA-PBEsol.

Summary:
Total moment ... 0.00 μB/f.u.
Uncorrected formation energy ... -1.87 eV/atom

Lattice parameters (Å, degrees): 12.2065 9.5340 8.3704 90.00 90.00 90.00
Last column: nearest neighbours and their distance in Å.
Space group Pnma (No. 62)
One atom of each set of equivalent atoms:
Ba  0.0176  0.2500  0.0847 x4  6 S 3.02-3.20, 1 Cl 3.12
Ba  0.1678  0.0195  0.5827 x8  7 S 3.22-3.55, 2 Cl 3.28-3.40, 1 Ga 3.51
Ga  0.1065  0.7500  0.3111 x4  4 S 2.23-2.26
S  0.0062  0.7500  0.5385 x4  1 Ga 2.26
S  0.0729  0.5465  0.1884 x8  1 Ga 2.23
S  0.2113  0.2500  0.8611 x4  1 Ga 2.26
Cl  0.2315  0.7500  0.8322 x4  5 Ba 3.12-3.40



BaGdCl5: relaxed, GGA-PBEsol.

Summary:
Total moment ... 6.99 μB/f.u.
Uncorrected formation energy ... -2.40 eV/atom

Lattice parameters (Å, degrees): 5.4566 19.1327 6.7636 90.00 93.05 90.00
Last column: nearest neighbours and their distance in Å.
Space group C2/c (No. 15)
One atom of each set of equivalent atoms:
Ba  0.0000  0.1722  0.2500 x4  10 Cl 3.16-3.49
Gd  0.0000  0.4229  0.2500 x4  8 Cl 2.72-2.89
Cl  0.0000  0.1273  0.7500 x4  2 Gd 2.89
Cl  0.0078  0.3112  0.9972 x8  1 Gd 2.74
Cl  0.2445  0.4676  0.5973 x8  2 Gd 2.72-2.77



BaGeN2Cl: relaxed, GGA-PBEsol.

Summary:
Total moment ... 1.41 μB/f.u.
Uncorrected formation energy ... 1.63 eV/atom

Lattice parameters (Å, degrees): 4.3624 4.3624 5.4616 90.00 90.00 90.00
Last column: nearest neighbours and their distance in Å.
Space group P4/mmm (No. 123)
One atom of each set of equivalent atoms:
Ba  0.0000  0.0000  0.0000 x1  2 Cl 2.73
Ge  0.5000  0.5000  0.0000 x1  4 Ba 3.08
N  0.0000  0.5000  0.5000 x2  2 Cl 2.18
Cl  0.0000  0.0000  0.5000 x1  4 N 2.18



BaGeRu2Cl: relaxed, GGA-PBEsol.

Summary:
Total moment ... 2.84 μB/f.u.
Uncorrected formation energy ... 2.30 eV/atom

Lattice parameters (Å, degrees): 5.0344 5.0344 5.8790 90.00 90.00 90.00
Last column: nearest neighbours and their distance in Å.
Space group P4/mmm (No. 123)
One atom of each set of equivalent atoms:
Ba  0.0000  0.0000  0.0000 x1  4 Ru 2.52
Ge  0.0000  0.0000  0.5000 x1  2 Ba 2.94
Ru  0.0000  0.5000  0.0000 x2  2 Ba 2.52
Cl  0.5000  0.5000  0.5000 x1  4 Ge 3.56, 8 Ru 3.87



BaH5ClO3: relaxed, GGA-PBEsol.

Summary:
Total moment ... 0.04 μB/f.u.
Energy ... -5.148 eV per atom

Lattice parameters (Å, degrees): 4.4802 4.4802 11.4965 90.00 90.00 90.00
Last column: nearest neighbours and their distance in Å.
Space group P4/nmm (No. 129, origin choice 2)
One atom of each set of equivalent atoms:
Ba  0.2500  0.2500  0.1784 x2  4 O 2.76
H  0.0654  0.7500  0.3714 x8  1 O 1.02
H  0.2500  0.2500  0.4852 x2  1 O 0.97
Cl  0.2500  0.2500  0.9047 x2  5 Ba 3.15-3.31, 4 O 3.41, 4 H 3.48
O  0.2500  0.2500  0.5700 x2  1 H 0.97
O  0.2500  0.7500  0.3190 x4  2 H 1.02



BaH2Cl2O: relaxed, GGA-PBEsol.

Summary:
Total moment ... 0.00 μB/f.u.
Energy ... -4.797 eV per atom

Lattice parameters (Å, degrees): 10.7078 4.4664 9.1542 90.00 90.00 90.00
Last column: nearest neighbours and their distance in Å.
Space group Pnma (No. 62)
One atom of each set of equivalent atoms:
Ba  0.1934  0.2500  0.0975 x4  2 O 2.80
H  0.0689  0.2500  0.6372 x4  1 O 1.00
H  0.1239  0.2500  0.4794 x4  1 O 0.98
Cl  0.1046  0.7500  0.8762 x4  3 H 3.06-3.15, 4 Ba 3.16-3.35, 1 O 3.24
Cl  0.1207  0.7500  0.3238 x4  1 H 2.06
O  0.1497  0.2500  0.5824 x4  2 H 0.98-1.00



BaHClO: relaxed, GGA-PBEsol.

Summary:
Total moment ... 0.00 μB/f.u.
Energy ... -5.278 eV per atom

Lattice parameters (Å, degrees): 7.3413 4.7890 8.0028 90.00 90.00 90.00
Last column: nearest neighbours and their distance in Å.
Space group Pnma (No. 62)
One atom of each set of equivalent atoms:
Ba  0.1867  0.2500  0.1066 x4  4 O 2.62-2.80, 3 H 2.74-2.93
H  0.2073  0.2500  0.4723 x4  1 O 0.99
Cl  0.0014  0.7500  0.3283 x4  1 H 2.21
O  0.1686  0.7500  0.9251 x4  1 H 0.99



BaHS2Cl: relaxed, GGA-PBEsol.

Summary:
Total moment ... 0.00 μB/f.u.
Distance to the lowest polymorph of the same formula ... 0 kJ/mol of formula units

Lattice parameters (Å, degrees): 4.1132 4.1132 5.6731 90.00 90.00 90.00
Last column: nearest neighbours and their distance in Å.
Space group P4/mmm (No. 123)
One atom of each set of equivalent atoms:
Ba  0.0000  0.0000  0.0000 x1  4 Cl 2.91
H  0.5000  0.5000  0.5000 x1  4 S 2.06
S  0.0000  0.5000  0.5000 x2  2 H 2.06
Cl  0.5000  0.5000  0.0000 x1  2 H 2.84, 4 Ba 2.91